Record 1
Below is a relaxed KPt2F crystal, with properties calculated at the PBE level.

Computed properties:
- energy relative to the elements, uncorrected (eV per formula unit) = 2.8
- calculated total energy (eV for the cell shown) = -49.0
- excess energy over the best structure of this formula in the dataset (eV/f.u.) = 2.677

a b c (Å): 6.6523 6.6523 6.6523
angles (deg): 90.00 90.00 90.00
Space group Fm-3m (No. 225)
One atom of each set of equivalent atoms:
K: 0.0000 0.0000 0.0000 [4 per cell]
Pt: 0.2500 0.2500 0.2500 [8 per cell]
F: 0.0000 0.0000 0.5000 [4 per cell]

Record 2
Below is a relaxed Nd4RuBr5 crystal, with properties calculated at the PBE level.

Computed properties:
- energy relative to the elements, uncorrected (eV per formula unit) = -13.7
- calculated total energy (eV for the cell shown) = -100.8

a b c (Å): 18.7989 4.1374 9.0095
angles (deg): 90.00 104.72 90.00
Space group C2/m (No. 12)
One atom of each set of equivalent atoms:
Nd: 0.0009 0.0000 0.2233 [4 per cell]
Nd: 0.1463 0.5000 0.0820 [4 per cell]
Ru: 0.0000 0.5000 0.0000 [2 per cell]
Br: 0.0000 0.5000 0.5000 [2 per cell]
Br: 0.1682 0.0000 0.3349 [4 per cell]
Br: 0.1720 0.0000 0.8466 [4 per cell]

Record 3
Below is a relaxed Mn2ZnSe crystal, with properties calculated at the PBE level.

Computed properties:
- energy relative to the elements, uncorrected (eV per formula unit) = 1.8
- calculated total energy (eV for the cell shown) = -85.0
- excess energy over the best structure of this formula in the dataset (eV/f.u.) = 1.576

a b c (Å): 5.5459 5.5459 12.4741
angles (deg): 90.00 90.00 90.00
Space group I-42d (No. 122)
One atom of each set of equivalent atoms:
Mn: 0.2386 0.2500 0.1250 [8 per cell]
Zn: 0.0000 0.0000 0.5000 [4 per cell]
Se: 0.0000 0.0000 0.0000 [4 per cell]

Record 4
Below is a relaxed YHfAl2 crystal, with properties calculated at the PBE level.

Computed properties:
- energy relative to the elements (kJ/mol of formula units) = -103
- calculated total energy (eV for the cell shown) = -25.0
- excess energy over the best structure of this formula in the dataset (eV/f.u.) = 0.126

a b c (Å): 4.5267 4.5267 4.0910
angles (deg): 90.00 90.00 90.00
Space group P4/mmm (No. 123)
One atom of each set of equivalent atoms:
Y: 0.0000 0.0000 0.0000 [1 per cell]
Hf: 0.5000 0.5000 0.0000 [1 per cell]
Al: 0.0000 0.5000 0.5000 [2 per cell]

Record 5
Below is a relaxed Pr3Ga4Cu2 crystal, with properties calculated at the PBE level.

Computed properties:
- energy relative to the elements (kJ/mol of formula units) = -441
- calculated total energy (eV for the cell shown) = -78.4

a b c (Å): 10.7919 4.4637 8.5806
angles (deg): 90.00 105.86 90.00
Space group C2/m (No. 12)
One atom of each set of equivalent atoms:
Pr: 0.0000 0.0000 0.0000 [2 per cell]
Pr: 0.1367 0.5000 0.6844 [4 per cell]
Ga: 0.0952 0.0000 0.4127 [4 per cell]
Ga: 0.2209 0.5000 0.0680 [4 per cell]
Cu: 0.1614 0.5000 0.3288 [4 per cell]

Record 6
Below is a relaxed CeYIr crystal, with properties calculated at the PBE level.

Computed properties:
- energy relative to the elements (kJ/mol of formula units) = -140
- calculated total energy (eV for the cell shown) = -22.7
- excess energy over the best structure of this formula in the dataset (eV/f.u.) = 0.282

a b c (Å): 4.0705 4.0705 6.1711
angles (deg): 90.00 90.00 120.00
Space group P3m1 (No. 156)
One atom of each set of equivalent atoms:
Ce: 0.0000 0.0000 0.0000 [1 per cell]
Y: 0.6667 0.3333 0.4851 [1 per cell]
Ir: 0.3333 0.6667 0.2349 [1 per cell]

Record 7
Below is a relaxed GaBiC3 crystal, with properties calculated at the PBE level.

Computed properties:
- energy relative to the elements (kJ/mol of formula units) = 1191
- calculated total energy (eV for the cell shown) = -22.2
- excess energy over the best structure of this formula in the dataset (eV/f.u.) = 0.000

a b c (Å): 4.1201 4.1201 4.1201
angles (deg): 90.00 90.00 90.00
Space group Pm-3m (No. 221)
One atom of each set of equivalent atoms:
Ga: 0.0000 0.0000 0.0000 [1 per cell]
Bi: 0.5000 0.5000 0.5000 [1 per cell]
C: 0.0000 0.0000 0.5000 [3 per cell]

Record 8
Below is a relaxed Cr2RuPb crystal, with properties calculated at the PBE level.

Computed properties:
- energy relative to the elements (kJ/mol of formula units) = 200
- calculated total energy (eV for the cell shown) = -30.2

a b c (Å): 2.9053 4.0159 5.4919
angles (deg): 90.00 90.00 90.00
Space group Pmmm (No. 47)
One atom of each set of equivalent atoms:
Cr: 0.0000 0.0000 0.1821 [2 per cell]
Ru: 0.5000 0.5000 0.0000 [1 per cell]
Pb: 0.5000 0.5000 0.5000 [1 per cell]

Record 9
Below is a relaxed KGe6S8 crystal, with properties calculated at the PBE level.

Computed properties:
- energy relative to the elements, uncorrected (eV per formula unit) = -4.7
- calculated total energy (eV for the cell shown) = -199.5

a b c (Å): 11.2392 11.2392 11.8723
angles (deg): 90.00 90.00 120.00
Space group R-3 (No. 148, hexagonal axes)
One atom of each set of equivalent atoms:
K: 0.0000 0.0000 0.0000 [3 per cell]
Ge: 0.1024 0.2044 0.4132 [18 per cell]
S: 0.0000 0.0000 0.3014 [6 per cell]
S: 0.0006 0.6496 0.9989 [18 per cell]

Record 10
Below is a relaxed Sm2YPuO8 crystal, with properties calculated at the PBE level.

Computed properties:
- energy relative to the elements, uncorrected (eV per formula unit) = -36.3
- calculated total energy (eV for the cell shown) = -212.5

a b c (Å): 7.2384 7.3968 7.0738
angles (deg): 90.00 90.00 90.00
Space group Cmmm (No. 65)
One atom of each set of equivalent atoms:
Sm: 0.0000 0.0000 0.2426 [4 per cell]
Y: 0.0000 0.5000 0.0000 [2 per cell]
Pu: 0.0000 0.5000 0.5000 [2 per cell]
O: 0.0000 0.3199 0.2797 [8 per cell]
O: 0.1956 0.0000 0.0000 [4 per cell]
O: 0.2257 0.0000 0.5000 [4 per cell]

Record 11
Below is a relaxed LaRu2W crystal, with properties calculated at the PBE level.

Computed properties:
- energy relative to the elements (kJ/mol of formula units) = 173
- calculated total energy (eV for the cell shown) = -103.9

a b c (Å): 2.9540 2.9540 28.3946
angles (deg): 90.00 90.00 120.00
Space group R-3m (No. 166, hexagonal axes)
One atom of each set of equivalent atoms:
La: 0.0000 0.0000 0.0000 [3 per cell]
Ru: 0.0000 0.0000 0.2387 [6 per cell]
W: 0.0000 0.0000 0.5000 [3 per cell]

Record 12
Below is a relaxed NaHoCdPb crystal, with properties calculated at the PBE level.

Computed properties:
- energy relative to the elements (kJ/mol of formula units) = -105
- calculated total energy (eV for the cell shown) = -11.6
- excess energy over the best structure of this formula in the dataset (eV/f.u.) = 0.000

a b c (Å): 4.0344 4.9823 5.2666
angles (deg): 90.00 90.00 90.00
Space group Pmmm (No. 47)
One atom of each set of equivalent atoms:
Na: 0.0000 0.0000 0.0000 [1 per cell]
Ho: 0.0000 0.5000 0.5000 [1 per cell]
Cd: 0.5000 0.5000 0.0000 [1 per cell]
Pb: 0.5000 0.0000 0.5000 [1 per cell]

Record 13
Below is a relaxed K2P2PdPt crystal, with properties calculated at the PBE level.

Computed properties:
- energy relative to the elements (kJ/mol of formula units) = -235
- calculated total energy (eV for the cell shown) = -106.7

a b c (Å): 6.1851 14.3158 6.2462
angles (deg): 90.00 90.00 90.00
Space group Ibam (No. 72)
One atom of each set of equivalent atoms:
K: 0.2425 0.1762 0.0000 [8 per cell]
P: 0.2413 0.4230 0.0000 [8 per cell]
Pd: 0.0000 0.0000 0.2500 [4 per cell]
Pt: 0.0000 0.5000 0.2500 [4 per cell]